# 1
First-principles (PBE) data for an optimized crystal structure of HfSc2Au3, as listed in Alexandria.

abc: 3.334 4.868 14.590
angles: 90.00 90.00 90.00
Sites, in units of the cell vectors:
Au (0.501, 0.500, 0.336)
Au (0.499, 0.000, 0.164)
Au (0.499, 0.000, 0.836)
Au (0.502, 0.500, 0.000)
Au (0.501, 0.500, 0.664)
Au (0.498, 0.000, 0.500)
Sc (0.000, 0.000, 0.332)
Sc (0.000, 0.000, 0.668)
Sc (0.000, 0.500, 0.832)
Sc (0.000, 0.500, 0.168)
Hf (0.000, 0.000, 0.000)
Hf (0.000, 0.500, 0.500)

The calculation puts the mass density at 12.05 Mg/m³. For the magnetization, the calculation gives 0.0 Bohr magnetons per cell. Its formation energy from the elements is -4.01 eV per formula unit. As for the space group: Pmmn.

---

# 2
First-principles (PBE) data for an optimized crystal structure of La2FePt, as listed in Alexandria.

abc: 4.950 4.950 4.950
angles: 60.00 60.00 60.00
Each line ends with the local moment (μB).
Sites, in units of the cell vectors:
Pt (0.750, 0.750, 0.750)  -0.11
Fe (0.500, 0.500, 0.500)  -2.66
La (0.000, 0.000, 0.000)  0.10
La (0.250, 0.250, 0.250)  0.14

The calculation puts the mass density at 10.24 Mg/m³. For the magnetization, the calculation gives 2.5 Bohr magnetons per cell. Its formation energy from the elements is -0.82 eV per formula unit. As for the space group: F-43m.

---

# 3
First-principles (PBE) data for an optimized crystal structure of Sr2CaCr, as listed in Alexandria.

abc: 5.568 4.159 7.381
angles: 73.73 90.00 90.00
Each line ends with the local moment (μB).
Sites, in units of the cell vectors:
Sr (0.500, 0.290, 0.292)  -0.01
Sr (0.000, 0.964, 0.948)  0.01
Cr (0.500, 0.566, 0.751)  4.03
Ca (0.000, 0.680, 0.509)  0.00

The calculation puts the mass density at 2.71 Mg/m³. For the offset from the most stable computed form, the calculation gives 71 meV per atom. For the magnetization, the calculation gives 4.8 Bohr magnetons per cell. Its formation energy from the elements is 1.88 eV per formula unit. As for the space group: Pm.